Entry 1:
! PuZrPa2 PBE optimized geometry; values from VASP
! Calculated volume ... 95.8 Å³ per cell
! Total energy ... -10.3216 eV/atom
&SYSTEM
  ibrav = 0, nat = 4, ntyp = 3
/
ATOMIC_SPECIES
Pu 244.00 Pu.upf
Zr 91.22 Zr.upf
Pa 231.04 Pa.upf
CELL_PARAMETERS angstrom
0.0000 3.6316 3.6316
3.6316 0.0000 3.6316
3.6316 3.6316 0.0000
ATOMIC_POSITIONS angstrom
Pu 0.0000 0.0000 0.0000
Zr 3.6316 3.6316 3.6316
Pa 1.8158 1.8158 1.8158
Pa 5.4473 5.4473 5.4473

=====

Entry 2:
! ZnHgOs2 PBE optimized geometry; values from VASP
! Calculated volume ... 63.8 Å³ per cell
! Total energy ... -5.1403 eV/atom
&SYSTEM
  ibrav = 0, nat = 4, ntyp = 3
/
ATOMIC_SPECIES
Zn 65.41 Zn.upf
Hg 200.59 Hg.upf
Os 190.23 Os.upf
CELL_PARAMETERS angstrom
2.7714 0.0000 0.0000
0.0000 2.7714 0.0000
0.0000 0.0000 8.2999
ATOMIC_POSITIONS angstrom
Zn 0.0000 0.0000 0.0000
Hg 0.0000 0.0000 4.1500
Os 1.3857 1.3857 1.8957
Os 1.3857 1.3857 6.4042

=====

Entry 3:
! AcPrGaPd PBE optimized geometry; values from VASP
! Calculated volume ... 111.6 Å³ per cell
! Total energy ... -4.9027 eV/atom
&SYSTEM
  ibrav = 0, nat = 4, ntyp = 4
/
ATOMIC_SPECIES
Ac 227.00 Ac.upf
Pr 140.91 Pr.upf
Ga 69.72 Ga.upf
Pd 106.42 Pd.upf
CELL_PARAMETERS angstrom
4.5789 0.0000 0.0000
0.0000 2.2878 5.3266
0.0000 -2.2878 5.3266
ATOMIC_POSITIONS angstrom
Ac 0.0000 0.0000 0.0000
Pr 2.2894 0.0000 7.5831
Ga 2.2894 0.0000 4.4068
Pd 0.0000 0.0000 3.0262

=====

Entry 4:
! SmY2Ho5Sc PBE optimized geometry; values from VASP
! Calculated volume ... 566.6 Å³ per cell
! Total energy ... -5.0382 eV/atom
&SYSTEM
  ibrav = 0, nat = 18, ntyp = 4
/
ATOMIC_SPECIES
Sm 150.36 Sm.upf
Y 88.91 Y.upf
Ho 164.93 Ho.upf
Sc 44.96 Sc.upf
CELL_PARAMETERS angstrom
2.7808 -9.8080 0.0000
2.7808 9.8080 0.0000
0.0000 0.0000 10.3868
ATOMIC_POSITIONS angstrom
Sm 2.7808 8.1071 5.1934
Sm 2.7808 -8.1071 0.0000
Y 2.7808 2.2197 8.0915
Y 2.7808 2.1814 3.7327
Y 2.7808 -2.1814 8.9261
Y 2.7808 -2.2197 2.8982
Ho 2.7808 9.4415 8.1312
Ho 2.7808 7.4289 0.6700
Ho 2.7808 5.8559 7.7789
Ho 2.7808 5.4544 3.7839
Ho 2.7808 0.3865 0.6695
Ho 2.7808 -0.3865 5.8629
Ho 2.7808 -5.4544 8.9773
Ho 2.7808 -5.8559 2.5855
Ho 2.7808 -7.4289 5.8634
Ho 2.7808 -9.4415 2.9378
Sc 2.7808 3.8660 0.6057
Sc 2.7808 -3.8660 5.7991

=====

Entry 5:
! ZrTl2Mo PBE optimized geometry; values from VASP
! Calculated volume ... 88.2 Å³ per cell
! Total energy ... -5.6976 eV/atom
&SYSTEM
  ibrav = 0, nat = 4, ntyp = 3
/
ATOMIC_SPECIES
Zr 91.22 Zr.upf
Tl 204.38 Tl.upf
Mo 95.94 Mo.upf
CELL_PARAMETERS angstrom
3.6726 0.0000 0.0000
0.0000 3.6726 0.0000
0.0000 0.0000 6.5368
ATOMIC_POSITIONS angstrom
Zr 0.0000 0.0000 0.0000
Tl 0.0000 0.0000 2.9450
Tl 1.8363 1.8363 4.7235
Mo 1.8363 1.8363 1.2201

=====

Entry 6:
! MnFeN3 PBE optimized geometry; values from VASP
! Calculated volume ... 48.5 Å³ per cell
! Formation energy (no corrections) ... 1.128 eV/atom
&SYSTEM
  ibrav = 0, nat = 5, ntyp = 3
/
ATOMIC_SPECIES
Mn 54.94 Mn.upf
Fe 55.84 Fe.upf
N 14.01 N.upf
CELL_PARAMETERS angstrom
3.6459 0.0000 0.0000
0.0000 3.6459 0.0000
0.0000 0.0000 3.6459
ATOMIC_POSITIONS angstrom
Mn 0.0000 0.0000 0.0000
Fe 1.8230 1.8230 1.8230
N 0.0000 1.8230 1.8230
N 1.8230 0.0000 1.8230
N 1.8230 1.8230 0.0000

=====

Entry 7:
! CePu2Th3S6 PBE optimized geometry; values from VASP
! Calculated volume ... 272.7 Å³ per cell
! Formation energy (no corrections) ... -1.867 eV/atom
&SYSTEM
  ibrav = 0, nat = 12, ntyp = 4
/
ATOMIC_SPECIES
Ce 140.12 Ce.upf
Pu 244.00 Pu.upf
Th 232.04 Th.upf
S 32.06 S.upf
CELL_PARAMETERS angstrom
3.4587 -5.9833 0.0000
3.4587 5.9833 0.0000
-2.2973 0.0000 6.5881
ATOMIC_POSITIONS angstrom
Ce 0.0000 0.0000 0.0000
Pu 3.4587 1.9975 0.0000
Pu 3.4587 -1.9975 0.0000
Th 2.3101 4.0055 3.2941
Th 2.3101 0.0000 3.2941
Th 2.3101 -4.0055 3.2941
S 1.1691 2.0181 1.5926
S 0.0358 0.0000 5.0088
S 1.1691 -2.0181 1.5926
S 3.4510 2.0181 4.9955
S 4.5843 0.0000 1.5793
S 3.4510 -2.0181 4.9955

=====

Entry 8:
! ThMgHgRh PBE optimized geometry; values from VASP
! Calculated volume ... 89.1 Å³ per cell
! Total energy ... -4.5632 eV/atom
&SYSTEM
  ibrav = 0, nat = 4, ntyp = 4
/
ATOMIC_SPECIES
Th 232.04 Th.upf
Mg 24.30 Mg.upf
Hg 200.59 Hg.upf
Rh 102.91 Rh.upf
CELL_PARAMETERS angstrom
0.0000 3.5456 3.5456
3.5456 0.0000 3.5456
3.5456 3.5456 0.0000
ATOMIC_POSITIONS angstrom
Th 0.0000 0.0000 0.0000
Mg 3.5456 3.5456 3.5456
Hg 5.3184 5.3184 5.3184
Rh 1.7728 1.7728 1.7728

=====

Entry 9:
! BaCuSb2Pd PBE optimized geometry; values from VASP
! Calculated volume ... 145.8 Å³ per cell
! Formation energy (no corrections) ... 0.139 eV/atom
&SYSTEM
  ibrav = 0, nat = 5, ntyp = 4
/
ATOMIC_SPECIES
Ba 137.33 Ba.upf
Cu 63.55 Cu.upf
Sb 121.76 Sb.upf
Pd 106.42 Pd.upf
CELL_PARAMETERS angstrom
5.0382 0.0000 0.0000
0.0000 5.0382 0.0000
0.0000 0.0000 5.7453
ATOMIC_POSITIONS angstrom
Ba 0.0000 0.0000 0.0000
Cu 0.0000 0.0000 2.8726
Sb 0.0000 2.5191 2.8726
Sb 2.5191 0.0000 2.8726
Pd 2.5191 2.5191 0.0000

=====

Entry 10:
! SiP2Se6 PBE optimized geometry; values from VASP
! Calculated volume ... 569.2 Å³ per cell
! Formation energy (no corrections) ... -0.068 eV/atom
&SYSTEM
  ibrav = 0, nat = 18, ntyp = 3
/
ATOMIC_SPECIES
Si 28.09 Si.upf
P 30.97 P.upf
Se 78.96 Se.upf
CELL_PARAMETERS angstrom
7.5304 -5.9458 0.0000
7.5304 5.9458 0.0000
-0.1281 0.0000 6.3563
ATOMIC_POSITIONS angstrom
Si 7.4344 3.7832 4.7673
Si 7.4984 -3.7832 1.5891
P 4.7494 0.8027 4.8972
P 4.8135 -0.8027 1.7190
P 10.1193 0.8027 4.6373
P 10.1834 -0.8027 1.4592
Se 6.5035 5.1327 6.3514
Se 8.3652 5.1327 3.1831
Se 5.4906 2.7793 3.9610
Se 5.9834 0.8881 0.5535
Se 9.3781 2.7793 5.5735
Se 5.9193 -0.8881 3.7317
Se 9.0134 0.8881 2.6247
Se 5.5547 -2.7793 0.7828
Se 8.9494 -0.8881 5.8028
Se 9.4422 -2.7793 2.3954
Se 6.5676 -5.1327 3.1733
Se 8.4293 -5.1327 0.0049

=====

Entry 11:
! Pm5Sm2Th2 PBE optimized geometry; values from VASP
! Calculated volume ... 303.8 Å³ per cell
! Total energy ... -5.2847 eV/atom
&SYSTEM
  ibrav = 0, nat = 9, ntyp = 3
/
ATOMIC_SPECIES
Pm 145.00 Pm.upf
Sm 150.36 Sm.upf
Th 232.04 Th.upf
CELL_PARAMETERS angstrom
6.2815 0.0000 0.0000
3.1286 5.4491 0.0000
3.1222 1.8243 8.8769
ATOMIC_POSITIONS angstrom
Pm 0.0000 0.0000 0.0000
Pm 4.1883 3.6392 2.9842
Pm 5.2337 1.8294 5.8947
Pm 7.2985 5.4440 2.9822
Pm 8.3439 3.6342 5.8927
Sm 6.2278 3.6575 8.8766
Sm 6.3044 3.6159 0.0003
Th 5.1891 5.4897 5.9016
Th 7.3432 1.7836 2.9753

=====

Entry 12:
! Y3HfTl4Se8 PBE optimized geometry; values from VASP
! Calculated volume ... 458.8 Å³ per cell
! Formation energy (no corrections) ... -1.257 eV/atom
&SYSTEM
  ibrav = 0, nat = 16, ntyp = 4
/
ATOMIC_SPECIES
Y 88.91 Y.upf
Hf 178.49 Hf.upf
Tl 204.38 Tl.upf
Se 78.96 Se.upf
CELL_PARAMETERS angstrom
4.0848 2.3584 7.9374
-4.0848 2.3584 7.9374
0.0000 -4.7167 7.9374
ATOMIC_POSITIONS angstrom
Y -2.0424 -1.1792 7.9374
Y -2.0424 1.1792 15.8747
Y 0.0000 2.3583 7.9374
Hf 0.0000 0.0000 0.0000
Tl -4.0848 0.0000 11.9060
Tl -2.0424 1.1792 3.9687
Tl 2.0424 1.1792 3.9687
Tl 0.0000 0.0000 11.9061
Se 0.0000 -2.4866 9.5152
Se -2.1535 1.2433 9.5152
Se -2.1535 -1.2433 14.2969
Se 0.0000 0.0000 6.3021
Se 0.0000 0.0000 17.5100
Se 2.1535 1.2433 9.5152
Se 2.1535 -1.2433 14.2969
Se 0.0000 2.4866 14.2969